Entry 1:
Here is YHo6Sc12 after structural relaxation from Alexandria via LeMat-Bulk. Energies are from PBE-GGA.

Results
ΔE_f ... 505 meV per atom
Fermi-level density of states ... 28.182 states/eV/f.u.
Magnetization ... 0.03 μB/cell
V ... 28.8 Å³ per atom

```
YHo6Sc12
1.0
-1.743 -2.207 7.826
8.054 -2.053 -0.296
0.667 8.234 0.961
Y Ho Sc
1 6 12
direct
0.000 0.000 0.000 Y
0.740 0.220 0.220 Ho
0.220 0.220 0.740 Ho
0.220 0.740 0.220 Ho
0.780 0.780 0.260 Ho
0.260 0.780 0.780 Ho
0.780 0.260 0.780 Ho
0.885 0.115 0.500 Sc
0.832 0.542 0.542 Sc
0.542 0.542 0.832 Sc
0.458 0.168 0.458 Sc
0.458 0.458 0.168 Sc
0.168 0.458 0.458 Sc
0.115 0.500 0.885 Sc
0.500 0.885 0.115 Sc
0.115 0.885 0.500 Sc
0.885 0.500 0.115 Sc
0.500 0.115 0.885 Sc
0.542 0.832 0.542 Sc
```



Entry 2:
Here is Th2SbP after structural relaxation from Alexandria via LeMat-Bulk. Energies are from PBE-GGA.

Results
Fermi-level density of states ... 0.500 states/eV/f.u.
Magnetization ... 0.00 μB/cell
V ... 28.7 Å³ per atom
ΔE_f (raw) ... -1.198 eV per atom

```
Th2SbP
1.0
-1.103 1.315 -3.849
-2.618 -2.320 -2.350
-7.078 3.299 0.848
Th Sb P
2 1 1
direct
0.071 0.071 0.788 Th
0.262 0.262 0.215 Th
0.499 0.499 0.502 Sb
0.668 0.668 0.996 P
```



Entry 3:
Here is LiCa3Bi3Se8 after structural relaxation from Alexandria via LeMat-Bulk. Energies are from PBE-GGA.

Results
Magnetization ... 0.00 μB/cell
V ... 27.9 Å³ per atom
ΔE_f (raw) ... -1.017 eV per atom

```
LiCa3Bi3Se8
1.0
-2.752 -2.310 -7.548
7.984 -1.290 2.113
-6.074 -4.584 3.617
Li Ca Bi Se
1 3 3 8
direct
0.000 0.000 0.500 Li
0.000 0.000 0.000 Ca
0.000 0.500 0.000 Ca
0.500 0.500 0.000 Ca
0.500 0.000 0.500 Bi
0.500 0.500 0.500 Bi
0.000 0.500 0.500 Bi
0.250 0.500 0.249 Se
0.750 0.500 0.751 Se
0.760 0.521 0.262 Se
0.240 0.479 0.738 Se
0.760 0.002 0.262 Se
0.240 0.998 0.738 Se
0.241 0.002 0.262 Se
0.759 0.998 0.738 Se
```



Entry 4:
Here is SrSiPbS4 after structural relaxation from Alexandria via LeMat-Bulk. Energies are from PBE-GGA.

Results
Fermi-level density of states ... 0.000 states/eV/f.u.
Magnetization ... 0.00 μB/cell
V ... 25.2 Å³ per atom
ΔE_f (raw) ... -1.083 eV per atom

```
SrSiPbS4
1.0
6.709 0.000 0.022
0.000 6.608 0.000
-2.588 0.000 7.937
Sr Si Pb S
2 2 2 8
direct
0.770 0.750 0.449 Sr
0.230 0.250 0.551 Sr
0.224 0.750 0.294 Si
0.776 0.250 0.706 Si
0.755 0.750 0.939 Pb
0.245 0.250 0.061 Pb
0.992 0.499 0.767 S
0.008 0.999 0.233 S
0.008 0.501 0.233 S
0.992 0.001 0.767 S
0.416 0.750 0.135 S
0.584 0.250 0.865 S
0.376 0.750 0.557 S
0.624 0.250 0.443 S
```



Entry 5:
Here is KTbCuTe2 after structural relaxation from Alexandria via LeMat-Bulk. Energies are from PBE-GGA.

Results
Fermi-level density of states ... 2.050 states/eV/f.u.
Magnetization ... 0.00 μB/cell
V ... 33.5 Å³ per atom
ΔE_f (raw) ... -0.766 eV per atom

```
KTbCuTe2
1.0
4.617 0.000 0.000
0.000 8.471 0.734
0.000 -1.824 8.400
K Tb Cu Te
2 2 2 4
direct
0.160 0.500 0.750 K
0.840 0.500 0.250 K
0.495 0.000 0.250 Tb
0.505 0.000 0.750 Tb
0.000 0.000 0.000 Cu
0.000 0.000 0.500 Cu
0.675 0.759 0.972 Te
0.675 0.241 0.528 Te
0.325 0.759 0.472 Te
0.325 0.241 0.028 Te
```



Entry 6:
Here is Li7Cd4Au after structural relaxation from Alexandria via LeMat-Bulk. Energies are from PBE-GGA.

Results
ΔE_f ... -192 meV per atom
Fermi-level density of states ... 4.433 states/eV/f.u.
Magnetization ... 0.00 μB/cell
V ... 18.9 Å³ per atom

```
Li7Cd4Au
1.0
-2.097 4.419 0.475
-7.796 -0.868 -0.927
-4.580 -0.062 5.783
Li Cd Au
7 4 1
direct
0.792 0.836 0.579 Li
0.208 0.164 0.421 Li
0.063 0.609 0.265 Li
0.937 0.391 0.735 Li
0.199 0.809 0.793 Li
0.500 0.000 0.000 Li
0.801 0.191 0.207 Li
0.582 0.279 0.558 Cd
0.418 0.721 0.442 Cd
0.674 0.596 0.056 Cd
0.326 0.404 0.944 Cd
0.000 0.000 0.000 Au
```



Entry 7:
Here is DyMgCoPd after structural relaxation from Alexandria via LeMat-Bulk. Energies are from PBE-GGA.

Results
ΔE_f ... -362 meV per atom
Fermi-level density of states ... 2.392 states/eV/f.u.
Magnetization ... 0.00 μB/cell
V ... 17.8 Å³ per atom

```
DyMgCoPd
1.0
-2.300 2.574 3.113
-0.099 -1.291 4.464
2.346 2.448 3.180
Mg Co Pd Dy
1 1 1 1
direct
0.750 0.750 0.750 Mg
0.000 0.000 0.000 Co
0.500 0.500 0.500 Pd
0.250 0.250 0.250 Dy
```



Entry 8:
Here is Ti3GaMo after structural relaxation from Alexandria via LeMat-Bulk. Energies are from PBE-GGA.

Results
Polymorph energy (0 for the lowest one) ... 0.0000 eV per atom
ΔE_f ... -275 meV per atom
Fermi-level density of states ... 3.665 states/eV/f.u.
Magnetization ... 0.00 μB/cell
V ... 16.1 Å³ per atom

```
Ti3GaMo
1.0
-2.739 -3.324 0.635
2.524 -2.558 -2.506
3.026 -3.988 7.121
Ti Ga Mo
6 2 2
direct
0.152 0.344 0.415 Ti
0.955 0.344 0.808 Ti
0.650 0.844 0.417 Ti
0.761 0.344 0.197 Ti
0.259 0.844 0.200 Ti
0.456 0.844 0.806 Ti
0.859 0.844 0.000 Ga
0.552 0.344 0.615 Ga
0.360 0.344 0.000 Mo
0.052 0.844 0.615 Mo
```